Entry P
An optimized crystal structure of TaFeRh3, computed with PBE.

abc: 4.4117 4.4117 4.4117
angles: 90.00 90.00 90.00
Last column: nearest neighbours and their distance in Å.
Space group Pm-3m (No. 221)
Unique sites:
1 Ta 0.0000 0.0000 0.0000 [1 per cell]  12 Rh 3.12
2 Fe 0.5000 0.5000 0.5000 [1 per cell]  6 Rh 2.21
3 Rh 0.0000 0.5000 0.5000 [3 per cell]  2 Fe 2.21

Output
Volume: 85.9 Å³/cell

Entry Q
An optimized crystal structure of TaFeRh3, computed with PBE.

abc: 4.6898 4.6898 4.6898
angles: 90.00 90.00 90.00
Last column: nearest neighbours and their distance in Å.
Space group Pm-3m (No. 221)
Unique sites:
1 Ta 0.0000 0.0000 0.0000 [1 per cell]  6 Rh 2.34
2 Fe 0.5000 0.5000 0.5000 [1 per cell]  12 Rh 3.32
3 Rh 0.0000 0.0000 0.5000 [3 per cell]  2 Ta 2.34

Output
Volume: 103.2 Å³/cell

How far above the most stable structure does each one sit? In kJ/mol of atoms: entry P 0.0; entry Q 21.3.

Entry P
An optimized crystal structure of FeTcRh2, computed with PBE.

abc: 8.9530 2.6875 4.6343
angles: 90.00 100.07 90.00
Last column: nearest neighbours and their distance in Å.
Space group C2/m (No. 12)
Unique sites:
1 Fe 0.0000 0.0000 0.0000 [2 per cell]  6 Rh 2.68-2.70, 4 Tc 2.68, 2 Fe 2.69
2 Tc 0.0000 0.5000 0.5000 [2 per cell]  4 Fe 2.68, 6 Rh 2.68-2.71, 2 Tc 2.69
3 Rh 0.2482 0.5000 0.2481 [4 per cell]  6 Rh 2.67-2.69, 3 Fe 2.68-2.70, 3 Tc 2.68-2.71

Output
Volume: 109.8 Å³/cell

Entry Q
An optimized crystal structure of FeTcRh2, computed with PBE.

abc: 4.6606 2.6821 4.6785
angles: 90.00 109.90 90.00
Last column: nearest neighbours and their distance in Å.
Space group P2/m (No. 10)
Unique sites:
1 Fe 0.0000 0.0000 0.0000 [1 per cell]  6 Rh 2.68-2.70, 2 Fe 2.68, 4 Tc 2.69
2 Tc 0.5000 0.5000 0.0000 [1 per cell]  6 Rh 2.68-2.70, 2 Tc 2.68, 4 Fe 2.69
3 Rh 0.0000 0.5000 0.5000 [1 per cell]  2 Tc 2.68, 6 Rh 2.68-2.69, 4 Fe 2.70
4 Rh 0.5000 0.0000 0.5000 [1 per cell]  2 Fe 2.68, 6 Rh 2.68-2.69, 4 Tc 2.70

Output
Volume: 55.0 Å³/cell

How far above the most stable structure does each one sit? In kJ/mol of atoms: entry P 0.0; entry Q 4.1.

Entry P
An optimized crystal structure of FeTcRh2, computed with PBE.

abc: 2.8294 4.3710 9.0500
angles: 90.00 90.00 90.00
Last column: nearest neighbours and their distance in Å.
Space group Imm2 (No. 44)
Unique sites:
1 Fe 0.0000 0.0000 0.0000 [2 per cell]  2 Tc 2.44, 6 Rh 2.49-2.60
2 Tc 0.0000 0.5000 0.2801 [2 per cell]  2 Fe 2.44, 4 Rh 2.65
3 Rh 0.0000 0.0000 0.5077 [2 per cell]  4 Fe 2.60, 4 Rh 2.83-2.91, 2 Tc 2.84
4 Rh 0.0000 0.5000 0.7269 [2 per cell]  2 Fe 2.49, 4 Tc 2.65

Output
Volume: 111.9 Å³/cell

Entry Q
An optimized crystal structure of FeTcRh2, computed with PBE.

abc: 6.0342 6.0342 6.0342
angles: 90.00 90.00 90.00
Last column: nearest neighbours and their distance in Å.
Space group Fm-3m (No. 225)
Unique sites:
1 Fe 0.0000 0.0000 0.0000 [4 per cell]  8 Rh 2.61
2 Tc 0.0000 0.0000 0.5000 [4 per cell]  8 Rh 2.61
3 Rh 0.2500 0.2500 0.2500 [8 per cell]  4 Fe 2.61, 4 Tc 2.61

Output
Volume: 219.7 Å³/cell

How far above the most stable structure does each one sit? In kJ/mol of atoms: entry P 0.0; entry Q 30.2.

Entry P
An optimized crystal structure of FeTcRh2, computed with PBE.

abc: 2.7048 2.7048 7.5248
angles: 90.00 90.00 90.00
Last column: nearest neighbours and their distance in Å.
Space group P4/mmm (No. 123)
Unique sites:
1 Fe 0.0000 0.0000 0.0000 [1 per cell]  8 Rh 2.66, 4 Fe 2.70
2 Tc 0.0000 0.0000 0.5000 [1 per cell]  8 Rh 2.70, 4 Tc 2.70
3 Rh 0.5000 0.5000 0.2461 [2 per cell]  4 Fe 2.66, 4 Tc 2.70, 4 Rh 2.70

Output
Volume: 55.1 Å³/cell

Entry Q
An optimized crystal structure of FeTcRh2, computed with PBE.

abc: 2.7181 2.7181 25.9149
angles: 90.00 90.00 120.00
Last column: nearest neighbours and their distance in Å.
Space group R3m (No. 160, hexagonal axes)
Unique sites:
1 Fe 0.0000 0.0000 0.0000 [3 per cell]  6 Rh 2.65-2.66, 6 Fe 2.72
2 Tc 0.0000 0.0000 0.8345 [3 per cell]  6 Rh 2.66-2.70, 6 Tc 2.72
3 Rh 0.0000 0.0000 0.4162 [3 per cell]  3 Fe 2.66, 3 Tc 2.70, 6 Rh 2.72
4 Rh 0.0000 0.0000 0.5843 [3 per cell]  3 Fe 2.65, 3 Tc 2.66, 6 Rh 2.72

Output
Volume: 165.8 Å³/cell

Entry R
An optimized crystal structure of FeTcRh2, computed with PBE.

abc: 2.7161 2.7161 26.1215
angles: 90.00 90.00 120.00
Last column: nearest neighbours and their distance in Å.
Space group R3m (No. 160, hexagonal axes)
Unique sites:
1 Fe 0.0000 0.0000 0.0000 [3 per cell]  3 Rh 2.59, 3 Tc 2.69, 6 Fe 2.72
2 Tc 0.0000 0.0000 0.7502 [3 per cell]  3 Rh 2.64, 3 Fe 2.69, 6 Tc 2.72
3 Rh 0.0000 0.0000 0.2543 [3 per cell]  3 Fe 2.59, 9 Rh 2.72-2.81
4 Rh 0.0000 0.0000 0.4984 [3 per cell]  3 Tc 2.64, 9 Rh 2.72-2.81

Output
Volume: 166.9 Å³/cell

Entry S
An optimized crystal structure of FeTcRh2, computed with PBE.

abc: 5.4027 7.5676 2.6993
angles: 90.00 90.00 90.00
Last column: nearest neighbours and their distance in Å.
Space group Cmmm (No. 65)
Unique sites:
1 Fe 0.0000 0.0000 0.0000 [2 per cell]  8 Rh 2.69, 2 Fe 2.70, 2 Tc 2.70
2 Tc 0.0000 0.5000 0.0000 [2 per cell]  8 Rh 2.69, 2 Tc 2.70, 2 Fe 2.70
3 Rh 0.2500 0.2500 0.5000 [4 per cell]  4 Fe 2.69, 4 Tc 2.69, 4 Rh 2.70

Output
Volume: 110.4 Å³/cell

How far above the most stable structure does each one sit? In kJ/mol of atoms: entry P 0.0; entry Q 3.2; entry R 11.4; entry S 5.6.

Entry P
An optimized crystal structure of FeTcRh2, computed with PBE.

abc: 3.8012 3.8012 7.5981
angles: 90.00 90.00 90.00
Last column: nearest neighbours and their distance in Å.
Space group I4/mmm (No. 139)
Unique sites:
1 Fe 0.0000 0.0000 0.0000 [2 per cell]  8 Rh 2.69, 4 Tc 2.69
2 Tc 0.0000 0.0000 0.5000 [2 per cell]  8 Rh 2.69, 4 Fe 2.69
3 Rh 0.0000 0.5000 0.2500 [4 per cell]  4 Fe 2.69, 4 Tc 2.69, 4 Rh 2.69

Output
Volume: 109.8 Å³/cell

Entry Q
An optimized crystal structure of FeTcRh2, computed with PBE.

abc: 2.6919 2.6919 7.5486
angles: 90.00 90.00 90.00
Last column: nearest neighbours and their distance in Å.
Space group P4mm (No. 99)
Unique sites:
1 Fe 0.0000 0.0000 0.0000 [1 per cell]  4 Rh 2.59, 4 Tc 2.67, 4 Fe 2.69
2 Tc 0.5000 0.5000 0.7524 [1 per cell]  4 Fe 2.67, 4 Rh 2.68, 4 Tc 2.69
3 Rh 0.0000 0.0000 0.5016 [1 per cell]  4 Tc 2.68, 8 Rh 2.69-2.79
4 Rh 0.5000 0.5000 0.2320 [1 per cell]  4 Fe 2.59, 8 Rh 2.69-2.79

Output
Volume: 54.7 Å³/cell

Entry R
An optimized crystal structure of FeTcRh2, computed with PBE.

abc: 6.0683 6.0683 6.0683
angles: 90.00 90.00 90.00
Last column: nearest neighbours and their distance in Å.
Space group F-43m (No. 216)
Unique sites:
1 Fe 0.0000 0.0000 0.0000 [4 per cell]  4 Rh 2.63, 4 Tc 2.63
2 Tc 0.2500 0.2500 0.2500 [4 per cell]  4 Fe 2.63, 4 Rh 2.63
3 Rh 0.0000 0.0000 0.5000 [4 per cell]  4 Tc 2.63, 4 Rh 2.63
4 Rh 0.2500 0.2500 0.7500 [4 per cell]  4 Fe 2.63, 4 Rh 2.63

Output
Volume: 223.5 Å³/cell

Entry S
An optimized crystal structure of FeTcRh2, computed with PBE.

abc: 5.2747 5.2747 11.0372
angles: 90.00 90.00 90.00
Last column: nearest neighbours and their distance in Å.
Space group I-42d (No. 122)
Unique sites:
1 Fe 0.0000 0.0000 0.0000 [4 per cell]  4 Rh 2.25
2 Tc 0.0000 0.0000 0.5000 [4 per cell]  4 Rh 2.39
3 Rh 0.2271 0.2500 0.1250 [8 per cell]  2 Fe 2.25, 2 Tc 2.39

Output
Volume: 307.1 Å³/cell

How far above the most stable structure does each one sit? In kJ/mol of atoms: entry P 0.0; entry Q 4.7; entry R 27.2; entry S 109.3.

Entry P
An optimized crystal structure of FeTcRh2, computed with PBE.

abc: 3.7851 3.7851 7.6636
angles: 90.00 90.00 90.00
Last column: nearest neighbours and their distance in Å.
Space group I-4m2 (No. 119)
Unique sites:
1 Fe 0.0000 0.0000 0.0000 [2 per cell]  8 Rh 2.68-2.69, 4 Tc 2.69
2 Tc 0.0000 0.5000 0.2500 [2 per cell]  8 Rh 2.68-2.69, 4 Fe 2.69
3 Rh 0.0000 0.0000 0.5000 [2 per cell]  4 Fe 2.68, 4 Tc 2.69, 4 Rh 2.69
4 Rh 0.0000 0.5000 0.7500 [2 per cell]  4 Tc 2.68, 4 Fe 2.69, 4 Rh 2.69

Output
Volume: 109.8 Å³/cell

Entry Q
An optimized crystal structure of FeTcRh2, computed with PBE.

abc: 8.9005 2.7084 4.6626
angles: 90.00 100.71 90.00
Last column: nearest neighbours and their distance in Å.
Space group Cm (No. 8)
Unique sites:
1 Fe 0.0000 0.0000 0.0000 [2 per cell]  7 Rh 2.63-2.72, 3 Tc 2.70-2.77, 2 Fe 2.71
2 Tc 0.2518 0.0000 0.7298 [2 per cell]  7 Rh 2.62-2.72, 3 Fe 2.70-2.77, 2 Tc 2.71
3 Rh 0.0010 0.5000 0.5069 [2 per cell]  3 Tc 2.62-2.65, 4 Fe 2.67-2.72, 5 Rh 2.71-2.77
4 Rh 0.2474 0.5000 0.2217 [2 per cell]  3 Fe 2.63-2.64, 4 Tc 2.67-2.72, 5 Rh 2.71-2.77

Output
Volume: 110.4 Å³/cell

How far above the most stable structure does each one sit? In kJ/mol of atoms: entry P 0.7; entry Q 0.0.

Entry P
An optimized crystal structure of FeTcRh2, computed with PBE.

abc: 3.8199 3.8199 3.7669
angles: 90.00 90.00 90.00
Last column: nearest neighbours and their distance in Å.
Space group P4/mmm (No. 123)
Unique sites:
1 Fe 0.0000 0.0000 0.0000 [1 per cell]  8 Rh 2.68, 4 Tc 2.70
2 Tc 0.5000 0.5000 0.0000 [1 per cell]  8 Rh 2.68, 4 Fe 2.70
3 Rh 0.0000 0.5000 0.5000 [2 per cell]  4 Fe 2.68, 4 Tc 2.68, 4 Rh 2.70

Output
Volume: 55.0 Å³/cell

Entry Q
An optimized crystal structure of FeTcRh2, computed with PBE.

abc: 2.7085 3.7763 5.3749
angles: 90.00 90.00 90.00
Last column: nearest neighbours and their distance in Å.
Space group Pmmm (No. 47)
Unique sites:
1 Fe 0.0000 0.0000 0.0000 [1 per cell]  8 Rh 2.68, 2 Tc 2.69, 2 Fe 2.71
2 Tc 0.0000 0.0000 0.5000 [1 per cell]  2 Fe 2.69, 8 Rh 2.69, 2 Tc 2.71
3 Rh 0.5000 0.5000 0.2480 [2 per cell]  4 Rh 2.67-2.71, 4 Fe 2.68, 4 Tc 2.69

Output
Volume: 55.0 Å³/cell

How far above the most stable structure does each one sit? In kJ/mol of atoms: entry P 6.5; entry Q 0.0.

Entry P
An optimized crystal structure of FeTcRh2, computed with PBE.

abc: 2.7199 2.7199 25.9191
angles: 90.00 90.00 120.00
Last column: nearest neighbours and their distance in Å.
Space group R-3m (No. 166, hexagonal axes)
Unique sites:
1 Fe 0.0000 0.0000 0.0000 [3 per cell]  6 Rh 2.65, 6 Fe 2.72
2 Tc 0.0000 0.0000 0.5000 [3 per cell]  6 Rh 2.69, 6 Tc 2.72
3 Rh 0.0000 0.0000 0.2508 [6 per cell]  3 Fe 2.65, 3 Tc 2.69, 6 Rh 2.72

Output
Volume: 166.1 Å³/cell

Entry Q
An optimized crystal structure of FeTcRh2, computed with PBE.

abc: 2.6941 3.7872 5.3787
angles: 90.00 90.00 90.00
Last column: nearest neighbours and their distance in Å.
Space group Pmm2 (No. 25)
Unique sites:
1 Fe 0.0000 0.0000 0.0000 [1 per cell]  6 Rh 2.63-2.72, 4 Tc 2.69, 2 Fe 2.69
2 Tc 0.5000 0.5000 0.7479 [1 per cell]  6 Rh 2.58-2.80, 4 Fe 2.69, 2 Tc 2.69
3 Rh 0.0000 0.0000 0.5064 [1 per cell]  2 Fe 2.66-2.72, 4 Tc 2.66, 6 Rh 2.69-2.76
4 Rh 0.5000 0.5000 0.2281 [1 per cell]  2 Tc 2.58-2.80, 4 Fe 2.63, 6 Rh 2.69-2.76

Output
Volume: 54.9 Å³/cell

How far above the most stable structure does each one sit? In kJ/mol of atoms: entry P 0.5; entry Q 0.0.

Entry P
An optimized crystal structure of FeTc2Rh, computed with PBE.

abc: 2.6880 2.6880 7.5829
angles: 90.00 90.00 90.00
Last column: nearest neighbours and their distance in Å.
Space group P4mm (No. 99)
Unique sites:
1 Fe 0.0000 0.0000 0.0000 [1 per cell]  4 Tc 2.61, 4 Rh 2.65, 4 Fe 2.69
2 Tc 0.0000 0.0000 0.4982 [1 per cell]  8 Tc 2.69-2.77, 4 Rh 2.71
3 Tc 0.5000 0.5000 0.7644 [1 per cell]  4 Fe 2.61, 8 Tc 2.69-2.77
4 Rh 0.5000 0.5000 0.2432 [1 per cell]  4 Fe 2.65, 4 Rh 2.69, 4 Tc 2.71

Output
Volume: 54.8 Å³/cell

Entry Q
An optimized crystal structure of FeTc2Rh, computed with PBE.

abc: 4.6284 2.6981 4.6801
angles: 90.00 109.10 90.00
Last column: nearest neighbours and their distance in Å.
Space group P2/m (No. 10)
Unique sites:
1 Fe 0.0000 0.0000 0.0000 [1 per cell]  4 Rh 2.68, 2 Fe 2.70, 6 Tc 2.70
2 Tc 0.0000 0.5000 0.5000 [1 per cell]  6 Tc 2.68-2.70, 2 Rh 2.70, 4 Fe 2.70
3 Tc 0.5000 0.0000 0.5000 [1 per cell]  6 Tc 2.68-2.70, 2 Fe 2.70, 4 Rh 2.70
4 Rh 0.5000 0.5000 0.0000 [1 per cell]  4 Fe 2.68, 2 Rh 2.70, 6 Tc 2.70

Output
Volume: 55.2 Å³/cell

How far above the most stable structure does each one sit? In kJ/mol of atoms: entry P 0.0; entry Q 2.2.

Entry P
An optimized crystal structure of FeTc2Rh, computed with PBE.

abc: 2.6664 2.6664 7.5199
angles: 90.00 90.00 90.00
Last column: nearest neighbours and their distance in Å.
Space group P4/mmm (No. 123)
Unique sites:
1 Fe 0.0000 0.0000 0.0000 [1 per cell]  8 Tc 2.58, 4 Fe 2.67
2 Tc 0.5000 0.5000 0.2345 [2 per cell]  4 Fe 2.58, 4 Tc 2.67, 4 Rh 2.75
3 Rh 0.0000 0.0000 0.5000 [1 per cell]  4 Rh 2.67, 8 Tc 2.75

Output
Volume: 53.5 Å³/cell

Entry Q
An optimized crystal structure of FeTc2Rh, computed with PBE.

abc: 3.8226 3.8226 7.4963
angles: 90.00 90.00 90.00
Last column: nearest neighbours and their distance in Å.
Space group I-4m2 (No. 119)
Unique sites:
1 Fe 0.0000 0.0000 0.0000 [2 per cell]  8 Tc 2.68-2.70, 4 Rh 2.68
2 Tc 0.0000 0.0000 0.5000 [2 per cell]  4 Tc 2.68, 4 Rh 2.68, 4 Fe 2.70
3 Tc 0.0000 0.5000 0.2500 [2 per cell]  4 Fe 2.68, 4 Tc 2.68, 4 Rh 2.70
4 Rh 0.0000 0.5000 0.7500 [2 per cell]  4 Fe 2.68, 8 Tc 2.68-2.70

Output
Volume: 109.5 Å³/cell

How far above the most stable structure does each one sit? In kJ/mol of atoms: entry P 0.0; entry Q 2.2.

Entry P
An optimized crystal structure of FeTc2Rh, computed with PBE.

abc: 6.0920 6.0920 6.0920
angles: 90.00 90.00 90.00
Last column: nearest neighbours and their distance in Å.
Space group F-43m (No. 216)
Unique sites:
1 Fe 0.0000 0.0000 0.0000 [4 per cell]  4 Tc 2.64, 4 Rh 2.64
2 Tc 0.0000 0.0000 0.5000 [4 per cell]  4 Rh 2.64, 4 Tc 2.64
3 Tc 0.2500 0.2500 0.2500 [4 per cell]  4 Tc 2.64, 4 Fe 2.64
4 Rh 0.2500 0.2500 0.7500 [4 per cell]  4 Fe 2.64, 4 Tc 2.64

Output
Volume: 226.1 Å³/cell

Entry Q
An optimized crystal structure of FeTc2Rh, computed with PBE.

abc: 8.9547 2.7011 4.6330
angles: 90.00 99.99 90.00
Last column: nearest neighbours and their distance in Å.
Space group C2/m (No. 12)
Unique sites:
1 Fe 0.0000 0.0000 0.0000 [2 per cell]  6 Tc 2.68-2.69, 4 Rh 2.68, 2 Fe 2.70
2 Tc 0.2497 0.0000 0.7546 [4 per cell]  6 Tc 2.64-2.72, 3 Fe 2.68-2.69, 3 Rh 2.70-2.71
3 Rh 0.0000 0.5000 0.5000 [2 per cell]  4 Fe 2.68, 2 Rh 2.70, 6 Tc 2.70-2.71

Output
Volume: 110.4 Å³/cell

How far above the most stable structure does each one sit? In kJ/mol of atoms: entry P 15.9; entry Q 0.0.

Entry P
An optimized crystal structure of FeTc2Rh, computed with PBE.

abc: 2.8732 4.3857 8.8511
angles: 90.00 90.00 90.00
Last column: nearest neighbours and their distance in Å.
Space group Imm2 (No. 44)
Unique sites:
1 Fe 0.0000 0.0000 0.0000 [2 per cell]  6 Tc 2.45-2.62, 2 Rh 2.51
2 Tc 0.0000 0.0000 0.5085 [2 per cell]  4 Fe 2.62, 4 Tc 2.77-2.87, 2 Rh 2.84
3 Tc 0.0000 0.5000 0.2755 [2 per cell]  2 Fe 2.45, 4 Rh 2.65
4 Rh 0.0000 0.5000 0.7321 [2 per cell]  2 Fe 2.51, 4 Tc 2.65

Output
Volume: 111.5 Å³/cell

Entry Q
An optimized crystal structure of FeTc2Rh, computed with PBE.

abc: 2.6983 2.6983 25.9477
angles: 90.00 90.00 120.00
Last column: nearest neighbours and their distance in Å.
Space group R-3m (No. 166, hexagonal axes)
Unique sites:
1 Fe 0.0000 0.0000 0.0000 [3 per cell]  6 Tc 2.60, 6 Fe 2.70
2 Tc 0.0000 0.0000 0.2531 [6 per cell]  3 Fe 2.60, 6 Tc 2.70, 3 Rh 2.73
3 Rh 0.0000 0.0000 0.5000 [3 per cell]  6 Rh 2.70, 6 Tc 2.73

Output
Volume: 163.6 Å³/cell

How far above the most stable structure does each one sit? In kJ/mol of atoms: entry P 9.6; entry Q 0.0.